Entry 1:
The following is a PBE calculation of a relaxed structure of CsIn2Au, from Alexandria.

ΔE_f = -201 meV per atom

a b c (Å): 4.8261 4.8261 21.7011
angles (deg): 90.00 90.00 120.00
Space group R3m (No. 160, hexagonal axes)
Asymmetric unit:
Cs (0.0000, 0.0000, 0.0000) (multiplicity 3)
In (0.0000, 0.0000, 0.2011) (multiplicity 3)
In (0.0000, 0.0000, 0.4644) (multiplicity 3)
Au (0.0000, 0.0000, 0.8211) (multiplicity 3)


Entry 2:
The following is a PBE calculation of a relaxed structure of Ce6Cd2Fe, from Alexandria.

ΔE_f = -77 meV per atom

a b c (Å): 11.980 6.774 6.783
angles (deg): 90.00 123.21 90.00
Space group C2/m (No. 12)
Asymmetric unit:
Ce (0.002, 0.218, 0.215) (multiplicity 8)
Ce (0.236, 0.500, 0.720) (multiplicity 4)
Cd (0.248, 0.000, 0.763) (multiplicity 4)
Fe (0.000, 0.500, 0.500) (multiplicity 2)


Entry 3:
The following is a PBE calculation of a relaxed structure of RbMgInSb2, from Alexandria.

ΔE_f (raw) = -0.3965 eV/atom

a b c (Å): 4.662 4.662 15.938
angles (deg): 90.00 90.00 90.00
Space group I-4m2 (No. 119)
Asymmetric unit:
Rb (0.000, 0.000, 0.000) (multiplicity 2)
Mg (0.000, 0.500, 0.250) (multiplicity 2)
In (0.000, 0.500, 0.750) (multiplicity 2)
Sb (0.000, 0.000, 0.363) (multiplicity 4)


Entry 4:
The following is a PBE calculation of a relaxed structure of Gd2GaIr, from Alexandria.

ΔE_f = -511 meV per atom

a b c (Å): 3.9334 3.9334 23.1015
angles (deg): 90.00 90.00 120.00
Space group R-3m (No. 166, hexagonal axes)
Asymmetric unit:
Gd (0.0000, 0.0000, 0.2380) (multiplicity 6)
Ga (0.0000, 0.0000, 0.0000) (multiplicity 3)
Ir (0.0000, 0.0000, 0.5000) (multiplicity 3)


Entry 5:
The following is a PBE calculation of a relaxed structure of Zn2AsRh, from Alexandria.

ΔE_f = -160 meV per atom

a b c (Å): 3.457 3.457 5.086
angles (deg): 90.00 90.00 90.00
Space group P4/mmm (No. 123)
Asymmetric unit:
Zn (0.000, 0.000, 0.242) (multiplicity 2)
As (0.500, 0.500, 0.500) (multiplicity 1)
Rh (0.500, 0.500, 0.000) (multiplicity 1)


Entry 6:
The following is a PBE calculation of a relaxed structure of SrLi4Sn2Pb, from Alexandria.

ΔE_f = -370 meV per atom

a b c (Å): 4.9979 4.9979 25.2168
angles (deg): 90.00 90.00 120.00
Space group R-3m (No. 166, hexagonal axes)
Asymmetric unit:
Sr (0.0000, 0.0000, 0.0000) (multiplicity 3)
Li (0.0000, 0.0000, 0.1315) (multiplicity 6)
Li (0.0000, 0.0000, 0.3876) (multiplicity 6)
Sn (0.0000, 0.0000, 0.2530) (multiplicity 6)
Pb (0.0000, 0.0000, 0.5000) (multiplicity 3)


Entry 7:
The following is a PBE calculation of a relaxed structure of LaPm2PO8, from Alexandria.

ΔE_f (raw) = -2.4800 eV/atom

a b c (Å): 5.1768 5.1768 6.6232
angles (deg): 90.00 90.00 120.00
Space group P-3m1 (No. 164)
Asymmetric unit:
La (0.0000, 0.0000, 0.0000) (multiplicity 1)
Pm (0.3333, 0.6667, 0.3654) (multiplicity 2)
P (0.0000, 0.0000, 0.5000) (multiplicity 1)
O (0.1539, 0.3077, 0.6519) (multiplicity 6)
O (0.3333, 0.6667, 0.0387) (multiplicity 2)


- What is the formula in the fourth record?
  Gd2GaIr